(1)
6
Lattice="3.560 0.001 0.000 -0.676 5.781 0.000 -0.800 -0.099 5.794" Properties=species:S:1:pos:R:3 comment="MgBSb, optimized geometry, DFT PBE" formation_energy_uncorrected_mev_per_atom=128 magnetic_moment_mub_per_atom=0.000 final_energy_ev_per_atom=-4.003 de_polymorph_mev_per_atom=120 pbc="T T T"
Sb 1.074 4.458 4.559
B 2.800 2.273 2.315
Mg 1.048 4.126 1.638
Mg 1.035 1.558 4.156
Sb 1.010 1.226 1.235
B -0.717 3.411 3.480

***

(2)
12
Lattice="8.845 0.000 -0.012 0.000 3.160 0.000 -2.353 0.000 8.241" Properties=species:S:1:pos:R:3 comment="MgBSb, optimized geometry, DFT PBE" formation_energy_uncorrected_mev_per_atom=8 magnetic_moment_mub_per_atom=0.000 final_energy_ev_per_atom=-4.123 de_polymorph_mev_per_atom=0 pbc="T T T"
Sb -0.008 0.000 6.391
Sb 1.169 1.580 2.270
B 2.347 0.000 6.269
Sb 6.500 0.000 1.839
B 4.145 0.000 1.961
B 3.524 1.580 2.148
Mg 3.246 0.000 4.115
Mg 0.000 0.000 0.000
Sb 5.323 1.580 5.960
Mg -1.177 1.580 4.121
Mg 4.423 1.580 -0.006
B 2.968 1.580 6.081

***

(3)
16
Lattice="3.778 -5.182 0.000 3.778 5.182 0.000 0.000 0.000 9.046" Properties=species:S:1:pos:R:3 comment="Mg14BSb, optimized geometry, DFT PBE" formation_energy_uncorrected_mev_per_atom=94 magnetic_moment_mub_per_atom=0.000 final_energy_ev_per_atom=-1.977 de_polymorph_mev_per_atom=0 pbc="T T T"
Mg 3.778 -1.056 2.532
Mg 3.778 3.670 1.984
B 3.778 -2.581 4.523
Mg 1.440 1.390 6.314
Mg 6.116 1.390 2.732
Mg 5.331 -1.713 0.000
Mg 1.623 -1.350 4.523
Mg 3.778 1.110 0.000
Mg 2.225 -1.713 0.000
Mg 3.778 -4.394 0.000
Mg 3.778 -1.056 6.514
Mg 1.440 1.390 2.732
Sb 3.778 1.202 4.523
Mg 3.778 3.670 7.062
Mg 6.116 1.390 6.314
Mg 5.932 -1.350 4.523

***

(4)
4
Lattice="0.000 3.371 3.371 3.371 0.000 3.371 3.371 3.371 0.000" Properties=species:S:1:pos:R:3 comment="Mg2BSb, optimized geometry, DFT PBE" formation_energy_uncorrected_mev_per_atom=603 magnetic_moment_mub_per_atom=0.000 final_energy_ev_per_atom=-2.894 de_polymorph_mev_per_atom=135 pbc="T T T"
Sb 3.371 3.371 3.371
Mg 5.056 5.056 5.056
B 0.000 0.000 0.000
Mg 1.685 1.685 1.685